1.
{
  "formula": "AsIr2Pb",
  "functional": "PBE",
  "state": "relaxed",
  "formation_energy_ev_per_atom": 0.545,
  "e_tot_ev_per_atom": -5.9754,
  "e_above_lowest_polymorph_mev_per_atom": 461,
  "total_magnetization_mub_per_atom": 0.00,
  "crystal_system": "orthorhombic",
  "lattice_angstrom": [[5.415, -0.009, 0.003], [1.817, 5.101, -0.003], [-2.728, -3.807, 2.718]],
  "species": ["Pb", "As", "Ir", "Ir"],
  "fractional_positions": [[0.750, 0.250, 0.500], [0.250, 0.750, 0.500], [0.038, 0.038, 0.000], [0.462, 0.462, 0.000]]
}

=====

2.
{
  "formula": "LuHfCu2",
  "functional": "PBE",
  "state": "relaxed",
  "formation_energy_ev_per_atom": -0.182,
  "e_tot_ev_per_atom": -5.8483,
  "e_above_lowest_polymorph_mev_per_atom": 0,
  "total_magnetization_mub_per_atom": 0.03,
  "crystal_system": "tetragonal",
  "lattice_angstrom": [[-1.910, 0.128, 2.714], [1.576, -2.649, 1.235], [4.416, 3.989, 2.920]],
  "species": ["Lu", "Hf", "Cu", "Cu"],
  "fractional_positions": [[0.500, 0.500, 0.500], [0.500, 0.500, 0.000], [0.000, 0.000, 0.777], [0.000, 0.000, 0.223]]
}

=====

3.
{
  "formula": "Zn2RePOs",
  "functional": "PBE",
  "state": "relaxed",
  "formation_energy_ev_per_atom": 1.267,
  "e_tot_ev_per_atom": -5.0602,
  "total_magnetization_mub_per_atom": 0.49,
  "crystal_system": "tetragonal",
  "lattice_angstrom": [[-2.424, 0.184, 3.723], [2.648, -2.855, 1.865], [2.542, 3.330, 1.490]],
  "species": ["Re", "Zn", "Zn", "Os", "P"],
  "fractional_positions": [[0.500, 0.500, 0.500], [0.000, 0.000, 0.500], [0.500, 0.000, 0.000], [0.000, 0.500, 0.000], [0.000, 0.000, 0.000]]
}

=====

4.
{
  "formula": "FeBiB3",
  "functional": "PBE",
  "state": "relaxed",
  "formation_energy_ev_per_atom": 1.094,
  "e_tot_ev_per_atom": -5.3813,
  "e_above_lowest_polymorph_mev_per_atom": 0,
  "total_magnetization_mub_per_atom": 0.22,
  "crystal_system": "cubic",
  "lattice_angstrom": [[3.995, 0.000, 0.000], [0.000, 3.995, 0.000], [0.000, 0.000, 3.995]],
  "species": ["B", "B", "B", "Bi", "Fe"],
  "fractional_positions": [[0.000, 0.500, 0.000], [0.000, 0.000, 0.500], [0.500, 0.000, 0.000], [0.500, 0.500, 0.500], [0.000, 0.000, 0.000]]
}

=====

5.
{
  "formula": "LaSmPdI",
  "functional": "PBE",
  "state": "relaxed",
  "e_tot_ev_per_atom": -4.9996,
  "formation_energy_uncorrected_mev_per_atom": -902.3,
  "total_magnetization_mub_per_atom": 0.00,
  "crystal_system": "trigonal",
  "lattice_angstrom": [[-1.945, 3.484, -1.433], [-1.327, -1.849, 3.578], [6.897, 2.950, 4.083]],
  "species": ["La", "Sm", "Pd", "I"],
  "fractional_positions": [[0.509, 0.152, 0.676], [0.098, 0.947, 0.060], [0.307, 0.552, 0.874], [0.964, 0.380, 0.360]]
}

=====

6.
{
  "formula": "LaGdNiIr",
  "functional": "PBE",
  "state": "relaxed",
  "formation_energy_ev_per_atom": -0.503,
  "e_tot_ev_per_atom": -8.9153,
  "total_magnetization_mub_per_atom": 1.77,
  "crystal_system": "cubic",
  "lattice_angstrom": [[4.964, 0.000, 0.000], [2.482, 4.299, 0.000], [2.482, 1.433, 4.053]],
  "species": ["Gd", "Ni", "Ir", "La"],
  "fractional_positions": [[0.750, 0.750, 0.750], [0.500, 0.500, 0.500], [0.000, 0.000, 0.000], [0.250, 0.250, 0.250]]
}

=====

7.
{
  "formula": "ScCu2Ir",
  "functional": "PBE",
  "state": "relaxed",
  "formation_energy_ev_per_atom": -0.322,
  "e_tot_ev_per_atom": -6.1677,
  "e_above_lowest_polymorph_mev_per_atom": 90,
  "total_magnetization_mub_per_atom": 0.00,
  "crystal_system": "monoclinic",
  "lattice_angstrom": [[-3.234, -1.079, 0.826], [0.286, -2.341, -1.938], [2.371, -5.445, 2.175]],
  "species": ["Cu", "Cu", "Ir", "Sc"],
  "fractional_positions": [[0.000, 0.973, 0.028], [0.500, 0.263, 0.237], [0.000, 0.503, 0.494], [0.500, 0.760, 0.740]]
}

=====

8.
{
  "formula": "CaBe2Au",
  "functional": "PBE",
  "state": "relaxed",
  "formation_energy_ev_per_atom": -0.055,
  "e_tot_ev_per_atom": -3.2382,
  "e_above_lowest_polymorph_mev_per_atom": 221,
  "total_magnetization_mub_per_atom": 0.00,
  "crystal_system": "monoclinic",
  "lattice_angstrom": [[-0.389, -3.253, 2.725], [3.537, 1.210, 1.949], [-2.318, 2.506, 2.661]],
  "species": ["Be", "Be", "Ca", "Au"],
  "fractional_positions": [[0.000, 0.750, 0.996], [0.000, 0.750, 0.504], [0.500, 0.250, 0.250], [0.500, 0.750, 0.750]]
}

=====

9.
{
  "formula": "Na2LiZr2O6",
  "functional": "PBE",
  "state": "relaxed",
  "e_tot_ev_per_atom": -7.1154,
  "formation_energy_uncorrected_mev_per_atom": -2442.9,
  "total_magnetization_mub_per_atom": 0.10,
  "crystal_system": "monoclinic",
  "lattice_angstrom": [[0.036, 5.648, 0.913], [-2.229, -3.762, 3.689], [5.516, -0.949, 1.284]],
  "species": ["Na", "Na", "Li", "Zr", "Zr", "O", "O", "O", "O", "O", "O"],
  "fractional_positions": [[0.847, 0.153, 0.000], [0.153, 0.847, 0.000], [0.000, 0.000, 0.500], [0.340, 0.660, 0.500], [0.660, 0.340, 0.500], [0.728, 0.728, 0.680], [0.047, 0.432, 0.711], [0.272, 0.272, 0.320], [0.432, 0.047, 0.711], [0.953, 0.568, 0.289], [0.568, 0.953, 0.289]]
}

=====

10.
{
  "formula": "Pm2HoAgHg4",
  "functional": "PBE",
  "state": "relaxed",
  "formation_energy_ev_per_atom": -0.405,
  "e_tot_ev_per_atom": -2.6727,
  "total_magnetization_mub_per_atom": 0.00,
  "crystal_system": "trigonal",
  "lattice_angstrom": [[5.183, 0.000, 0.000], [2.592, 4.489, 0.000], [2.592, 1.496, 8.686]],
  "species": ["Pm", "Pm", "Ho", "Ag", "Hg", "Hg", "Hg", "Hg"],
  "fractional_positions": [[0.758, 0.758, 0.727], [0.242, 0.242, 0.273], [0.000, 0.000, 0.000], [0.500, 0.500, 0.500], [0.370, 0.370, 0.890], [0.877, 0.877, 0.369], [0.123, 0.123, 0.631], [0.630, 0.630, 0.110]]
}

=====

11.
{
  "formula": "CeCuAgS3",
  "functional": "PBE",
  "state": "relaxed",
  "e_tot_ev_per_atom": -5.1427,
  "formation_energy_uncorrected_mev_per_atom": -932.1,
  "total_magnetization_mub_per_atom": 0.02,
  "crystal_system": "monoclinic",
  "lattice_angstrom": [[3.836, 0.000, 0.000], [0.000, 8.479, 1.115], [0.000, -2.855, 7.464]],
  "species": ["Ce", "Ce", "Cu", "Cu", "Ag", "Ag", "S", "S", "S", "S", "S", "S"],
  "fractional_positions": [[0.250, 0.175, 0.220], [0.750, 0.825, 0.780], [0.250, 0.096, 0.591], [0.750, 0.904, 0.409], [0.250, 0.586, 0.196], [0.750, 0.414, 0.804], [0.750, 0.937, 0.139], [0.250, 0.063, 0.861], [0.250, 0.785, 0.490], [0.750, 0.215, 0.510], [0.750, 0.373, 0.129], [0.250, 0.627, 0.871]]
}

=====

12.
{
  "formula": "Be2HgAs2",
  "functional": "PBE",
  "state": "relaxed",
  "formation_energy_ev_per_atom": 0.085,
  "e_tot_ev_per_atom": -3.3256,
  "e_above_lowest_polymorph_mev_per_atom": 0,
  "total_magnetization_mub_per_atom": 0.00,
  "crystal_system": "monoclinic",
  "lattice_angstrom": [[-3.925, -5.388, 3.427], [2.636, -5.088, 3.197], [-1.938, -0.300, 5.497]],
  "species": ["Be", "Be", "Be", "Be", "Hg", "Hg", "As", "As", "As", "As"],
  "fractional_positions": [[0.501, 0.750, 0.999], [0.751, 0.250, 0.498], [0.499, 0.250, 0.001], [0.249, 0.750, 0.502], [0.875, 0.750, 0.249], [0.125, 0.250, 0.751], [0.566, 0.367, 0.250], [0.817, 0.867, 0.749], [0.183, 0.133, 0.251], [0.434, 0.633, 0.750]]
}

=====

Copy entry 11 word for word.
{
  "formula": "CeCuAgS3",
  "functional": "PBE",
  "state": "relaxed",
  "e_tot_ev_per_atom": -5.1427,
  "formation_energy_uncorrected_mev_per_atom": -932.1,
  "total_magnetization_mub_per_atom": 0.02,
  "crystal_system": "monoclinic",
  "lattice_angstrom": [[3.836, 0.000, 0.000], [0.000, 8.479, 1.115], [0.000, -2.855, 7.464]],
  "species": ["Ce", "Ce", "Cu", "Cu", "Ag", "Ag", "S", "S", "S", "S", "S", "S"],
  "fractional_positions": [[0.250, 0.175, 0.220], [0.750, 0.825, 0.780], [0.250, 0.096, 0.591], [0.750, 0.904, 0.409], [0.250, 0.586, 0.196], [0.750, 0.414, 0.804], [0.750, 0.937, 0.139], [0.250, 0.063, 0.861], [0.250, 0.785, 0.490], [0.750, 0.215, 0.510], [0.750, 0.373, 0.129], [0.250, 0.627, 0.871]]
}